DFT (GGA+U) results for a relaxed structure of Li3Mn4NiO8.

Results
- Raw total energy: -104.8 eV per formula unit
- Spin magnetization: 19.00 μB per formula unit

Cell: 6.002 6.002 6.092 Å, 120.30 120.30 60.91°
Element x y z (fractional)
Li 0.000 0.000 0.000
Li 0.000 0.500 0.000
Li 0.500 0.000 0.000
Mn 0.000 0.000 0.500
Mn 0.000 0.500 0.500
Mn 0.500 0.000 0.500
Mn 0.500 0.500 0.000
Ni 0.500 0.500 0.500
O 0.240 0.734 0.733
O 0.251 0.251 0.292
O 0.251 0.251 0.770
O 0.266 0.760 0.267
O 0.734 0.240 0.733
O 0.749 0.749 0.230
O 0.749 0.749 0.708
O 0.760 0.266 0.267